# 1
An optimized crystal structure of CaHoCuRu, computed with PBE.

E, eV/cell: -81.25
Formation enthalpy at 0 K, meV/atom: -90.1

Unit cell a=6.8706 b=6.8706 c=6.8706 alpha=90.00 beta=90.00 gamma=90.00
Space group F-43m (No. 216)
Inequivalent atoms, fractional coordinates:
1 Ca 0.0000 0.0000 0.0000 (multiplicity 4)
2 Ho 0.0000 0.0000 0.5000 (multiplicity 4)
3 Cu 0.2500 0.2500 0.2500 (multiplicity 4)
4 Ru 0.2500 0.2500 0.7500 (multiplicity 4)

---

# 2
An optimized crystal structure of Ca3Ho3CuS8, computed with PBE.

E, eV/cell: -251.63
Formation energy from raw total energies, meV/atom: -1802

Unit cell a=7.8151 b=7.8151 c=19.5120 alpha=90.00 beta=90.00 gamma=120.00
Space group R-3m (No. 166, hexagonal axes)
Inequivalent atoms, fractional coordinates:
1 Ca 0.0000 0.5000 0.0000 (multiplicity 9)
2 Ho 0.0000 0.5000 0.5000 (multiplicity 9)
3 Cu 0.0000 0.0000 0.5000 (multiplicity 3)
4 S 0.0000 0.0000 0.2472 (multiplicity 6)
5 S 0.0057 0.5028 0.2434 (multiplicity 18)

---

# 3
An optimized crystal structure of Ca2HoCu2S4, computed with PBE.

E, eV/cell: -90.62
Formation energy from raw total energies, meV/atom: -1336

Unit cell a=14.3151 b=3.7265 c=7.1514 alpha=90.00 beta=113.22 gamma=90.00
Space group C2/m (No. 12)
Inequivalent atoms, fractional coordinates:
1 Ca 0.1346 0.0000 0.0807 (multiplicity 4)
2 Ho 0.0000 0.0000 0.5000 (multiplicity 2)
3 Cu 0.1872 0.5000 0.5236 (multiplicity 4)
4 S 0.0297 0.5000 0.2458 (multiplicity 4)
5 S 0.2019 0.0000 0.7450 (multiplicity 4)

---

# 4
An optimized crystal structure of Ca2HoCuS4, computed with PBE.

E, eV/cell: -42.30
Formation energy from raw total energies, meV/atom: -1639

Unit cell a=6.7714 b=3.9334 c=6.8247 alpha=90.00 beta=110.46 gamma=90.00
Space group P2/m (No. 10)
Inequivalent atoms, fractional coordinates:
1 Ca 0.0000 0.0000 0.0000 (multiplicity 1)
2 Ca 0.5000 0.5000 0.0000 (multiplicity 1)
3 Ho 0.0000 0.5000 0.5000 (multiplicity 1)
4 Cu 0.5000 0.0000 0.5000 (multiplicity 1)
5 S 0.2422 0.0000 0.7439 (multiplicity 2)
6 S 0.2623 0.5000 0.2726 (multiplicity 2)

---

Number 1: Fermi-level density of states 1.8 states/eV/f.u.. Number 2: Fermi-level density of states 6.2 states/eV/f.u.. Number 3: Fermi-level density of states 2.4 states/eV/f.u.. Number 4: Fermi-level density of states 0.1 states/eV/f.u..